{"formula": "NiAuI2O", "functional": "GGA+U", "state": "optimized geometry", "lattice": [[5.836, 0.000, 0.000], [0.000, 5.836, 0.000], [0.000, 0.000, 3.474]], "species": ["Ni", "Au", "I", "I", "O"], "frac_coords": [[0.000, 0.000, 0.000], [0.500, 0.500, 0.500], [0.000, 0.500, 0.000], [0.500, 0.000, 0.000], [0.000, 0.000, 0.500]], "total_energy_ev_per_atom": -2.5187}